(1)
Compound: MnV2Sb2
Source: Alexandria
Functional: PBE-GGA
Structure: relaxed

Theoretical density = 7.30 g/cm³
Space-group type = P4/mbm (127)
E_form (uncorrected) = 0.221 eV/atom

a = 7.367 Å, b = 7.367 Å, c = 3.356 Å
α = 90.00°, β = 90.00°, γ = 90.00°
Each line ends with the local moment (μB).
Sites, in units of the cell vectors:
Mn  0.000  0.000  0.000  3.64
Sb  0.159  0.341  0.000  0.02
Sb  0.341  0.841  0.000  0.02
V  0.368  0.132  0.500  -0.35
V  0.132  0.632  0.500  -0.35
V  0.868  0.368  0.500  -0.35
Mn  0.500  0.500  0.000  3.64
V  0.632  0.868  0.500  -0.35
Sb  0.841  0.659  0.000  0.02
Sb  0.659  0.159  0.000  0.02

***

(2)
Compound: Tb12Tl6Cu
Source: Alexandria
Functional: PBE-GGA
Structure: relaxed

Theoretical density = 9.31 g/cm³
Space-group type = R-3 (148)
Uncorrected energy = -0.1479 Ha/atom

a = 8.306 Å, b = 8.306 Å, c = 8.306 Å
α = 93.08°, β = 93.08°, γ = 93.08°
Sites, in units of the cell vectors:
Tb  0.020  0.898  0.678
Tb  0.435  0.545  0.202
Tb  0.102  0.322  0.980
Tb  0.898  0.678  0.020
Cu  0.000  0.000  0.000
Tb  0.322  0.980  0.102
Tb  0.565  0.455  0.798
Tb  0.980  0.102  0.322
Tl  0.865  0.264  0.665
Tl  0.736  0.335  0.135
Tb  0.202  0.435  0.545
Tb  0.455  0.798  0.565
Tl  0.264  0.665  0.865
Tl  0.135  0.736  0.335
Tb  0.678  0.020  0.898
Tl  0.665  0.865  0.264
Tb  0.798  0.565  0.455
Tb  0.545  0.202  0.435
Tl  0.335  0.135  0.736

***

(3)
Compound: CaCdW
Source: Alexandria
Functional: PBE-GGA
Structure: relaxed

Theoretical density = 6.87 g/cm³
Space-group type = F-43m (216)
Uncorrected energy = -0.1457 Ha/atom

a = 4.862 Å, b = 4.862 Å, c = 4.862 Å
α = 60.00°, β = 60.00°, γ = 60.00°
Each line ends with the local moment (μB).
Sites, in units of the cell vectors:
Cd  0.750  0.750  0.750  0.01
Ca  0.500  0.500  0.500  0.04
W  0.000  0.000  0.000  2.31

***

(4)
Compound: Ca2DyYSe4
Source: Alexandria
Functional: PBE-GGA
Structure: relaxed

Theoretical density = 5.38 g/cm³
Space-group type = P2/m (10)
E_form (uncorrected) = -1.878 eV/atom

a = 4.110 Å, b = 7.113 Å, c = 7.242 Å
α = 109.16°, β = 90.00°, γ = 90.00°
Sites, in units of the cell vectors:
Se  0.000  0.252  0.754
Se  0.500  0.750  0.754
Se  0.500  0.250  0.246
Dy  0.500  0.500  0.000
Ca  0.500  0.000  0.500
Se  0.000  0.748  0.246
Ca  0.000  0.500  0.500
Y  0.000  0.000  0.000

***

(5)
Compound: SmThCu3
Source: Alexandria
Functional: PBE-GGA
Structure: relaxed

Theoretical density = 9.13 g/cm³
Space-group type = Cmcm (63)
Uncorrected energy = -0.1866 Ha/atom

a = 3.551 Å, b = 4.364 Å, c = 13.573 Å
α = 90.00°, β = 97.52°, γ = 90.00°
Sites, in units of the cell vectors:
Cu  0.477  0.250  0.954
Th  0.071  0.250  0.141
Cu  0.332  0.750  0.665
Th  0.929  0.750  0.859
Cu  0.617  0.750  0.233
Cu  0.383  0.250  0.767
Sm  0.204  0.750  0.408
Cu  0.523  0.750  0.046
Sm  0.796  0.250  0.592
Cu  0.668  0.250  0.335

***

(6)
Compound: LaMg2TiF
Source: Alexandria
Functional: PBE-GGA
Structure: relaxed

Theoretical density = 2.72 g/cm³
Space-group type = P4/mmm (123)
E_form (uncorrected) = 0.247 eV/atom

a = 5.428 Å, b = 5.265 Å, c = 5.428 Å
α = 90.00°, β = 90.00°, γ = 90.00°
Each line ends with the local moment (μB).
Sites, in units of the cell vectors:
Mg  0.000  0.000  0.500  0.01
Mg  0.500  0.000  0.000  0.03
Ti  0.000  0.000  0.000  0.71
La  0.000  0.500  0.000  0.08
F  0.500  0.500  0.500  0.01

***

(7)
Compound: FeRe2Ir
Source: Alexandria
Functional: PBE-GGA
Structure: relaxed

Theoretical density = 18.39 g/cm³
Space-group type = R-3m (166)
Uncorrected energy = -0.3864 Ha/atom

a = 8.827 Å, b = 8.827 Å, c = 8.827 Å
α = 17.78°, β = 17.78°, γ = 17.78°
Each line ends with the local moment (μB).
Sites, in units of the cell vectors:
Re  0.497  0.497  0.497  -0.12
Re  0.003  0.003  0.003  -0.12
Fe  0.750  0.750  0.750  1.39
Ir  0.250  0.250  0.250  -0.05

***

(8)
Compound: Pd3PtF
Source: Alexandria
Functional: PBE-GGA
Structure: relaxed

Theoretical density = 7.48 g/cm³
Space-group type = Pm-3m (221)
E_form (uncorrected) = 0.858 eV/atom

a = 4.911 Å, b = 4.911 Å, c = 4.911 Å
α = 90.00°, β = 90.00°, γ = 90.00°
Sites, in units of the cell vectors:
F  0.500  0.500  0.500
Pd  0.000  0.000  0.500
Pd  0.000  0.500  0.000
Pd  0.500  0.000  0.000
Pt  0.000  0.000  0.000

***

> Which of these has the lowest theoretical density?

LaMg2TiF